A relaxed Cu2Ag crystal, computed with PBE.

Cell and atoms, written as CIF:
```
data_Cu2Ag
_chemical_formula_sum 'Cu4 Ag2'
_cell_length_a 4.6746
_cell_length_b 2.7373
_cell_length_c 6.5379
_cell_angle_alpha 90.00
_cell_angle_beta 90.47
_cell_angle_gamma 90.00
_symmetry_space_group_name_H-M 'P 1 21/m 1'
_symmetry_Int_Tables_number 11
loop_
_symmetry_equiv_pos_as_xyz
'x,y,z'
'-x,-y,-z'
'-x,y+1/2,-z'
'x,-y+1/2,z'
loop_
_atom_site_label
_atom_site_type_symbol
_atom_site_fract_x
_atom_site_fract_y
_atom_site_fract_z
Cu1 Cu 0.0827 0.2500 0.1686
Cu2 Cu 0.2295 0.7500 0.4882
Ag1 Ag 0.4083 0.2500 0.8192
```

Values from the calculation:
Crystal system: monoclinic
Energy relative to the elements, eV/atom: 0.0974
Final energy, eV per atom: -3.32
Density, Mg/m³: 9.3